CdS4 | PBE | optimized geometry

```
20
Lattice="5.634 0.000 0.000 0.000 10.681 0.000 -0.046 0.000 8.248" Properties=species:S:1:pos:R:3 pbc="T T T"
Cd 0.772 2.452 3.932
Cd 0.749 2.889 8.056
Cd 4.839 7.792 0.192
Cd 4.816 8.229 4.316
S 0.796 0.713 1.505
S 0.773 4.627 5.629
S 1.206 5.960 2.345
S 1.183 10.061 6.469
S 1.605 6.858 0.549
S 1.582 9.163 4.673
S 1.737 1.401 6.138
S 1.760 3.939 2.014
S 3.828 6.741 6.234
S 3.851 9.280 2.110
S 4.006 1.518 3.575
S 3.984 3.823 7.699
S 4.405 0.620 1.779
S 4.382 4.721 5.904
S 4.815 6.054 2.619
S 4.792 9.967 6.743
```

ScFe2Ni | PBE | optimized geometry

Energy relative to the elements = -99.2 meV/atom

```
4
Lattice="0.000 2.982 2.982 2.982 0.000 2.982 2.982 2.982 0.000" Properties=species:S:1:pos:R:3 pbc="T T T"
Sc 0.000 0.000 0.000
Fe 1.491 1.491 1.491
Fe 2.982 2.982 2.982
Ni 4.473 4.473 4.473
```

NaLaPm | PBE | optimized geometry

Energy above the most stable polymorph in this dataset = 0 meV per atom

```
3
Lattice="0.000 3.871 3.871 3.871 0.000 3.871 3.871 3.871 0.000" Properties=species:S:1:pos:R:3 pbc="T T T"
Na 0.000 0.000 0.000
La 5.806 5.806 5.806
Pm 1.935 1.935 1.935
```

ZrZn | PBE | optimized geometry

Energy relative to the elements = -70.3 meV/atom

```
12
Lattice="6.195 0.000 0.000 0.000 4.760 0.000 -1.487 0.000 7.756" Properties=species:S:1:pos:R:3 pbc="T T T"
Zr 0.748 1.190 0.679
Zr 0.807 1.190 5.449
Zr 0.789 3.570 7.424
Zr 3.920 1.190 0.332
Zr 3.902 3.570 2.307
Zr 3.961 3.570 7.077
Zn -0.662 3.570 4.668
Zn 0.767 3.570 2.410
Zn 2.434 1.190 3.069
Zn 2.275 3.570 4.687
Zn 3.942 1.190 5.345
Zn 5.371 1.190 3.088
```

TbDyCF2 | PBE | optimized geometry

```
5
Lattice="3.638 0.000 0.000 -1.819 3.150 0.000 0.000 0.000 6.345" Properties=species:S:1:pos:R:3 pbc="T T T"
Tb 0.000 0.000 0.000
Dy 1.819 1.050 2.705
C 0.000 2.100 1.359
F 0.000 0.000 3.790
F 1.819 1.050 5.233
```

SmMgCo | PBE | optimized geometry

```
3
Lattice="0.000 3.310 3.310 3.310 0.000 3.310 3.310 3.310 0.000" Properties=species:S:1:pos:R:3 pbc="T T T"
Sm 0.000 0.000 0.000
Mg 1.655 1.655 1.655
Co 4.965 4.965 4.965
```

Tl3OsCl | PBE | optimized geometry

```
5
Lattice="5.685 0.000 0.000 0.000 5.685 0.000 0.000 0.000 5.685" Properties=species:S:1:pos:R:3 pbc="T T T"
Tl 0.000 0.000 2.842
Tl 0.000 2.842 0.000
Tl 2.842 0.000 0.000
Os 2.842 2.842 2.842
Cl 0.000 0.000 0.000
```

KCoAuSe3 | PBE | optimized geometry

```
12
Lattice="1.793 -8.113 0.000 1.793 8.113 0.000 0.000 0.000 10.008" Properties=species:S:1:pos:R:3 pbc="T T T"
K 1.793 4.378 7.506
K 1.793 -4.378 2.502
Co 1.793 0.000 0.000
Co 1.793 0.000 5.004
Au 1.793 6.474 2.502
Au 1.793 -6.474 7.506
Se 1.793 6.497 0.053
Se 1.793 6.497 4.951
Se 1.793 0.737 2.502
Se 1.793 -0.737 7.506
Se 1.793 -6.497 5.057
Se 1.793 -6.497 9.955
```

HfReSi | PBE | optimized geometry

```
6
Lattice="4.340 0.000 0.000 -2.170 3.758 0.000 0.000 0.000 6.092" Properties=species:S:1:pos:R:3 pbc="T T T"
Hf 0.000 0.000 0.000
Hf 0.000 0.000 3.046
Re 0.000 2.506 1.820
Re 2.170 1.253 4.866
Si 0.000 2.506 4.382
Si 2.170 1.253 1.336
```

Ag2SnHg | PBE | optimized geometry

```
4
Lattice="0.000 3.505 3.505 3.505 0.000 3.505 3.505 3.505 0.000" Properties=species:S:1:pos:R:3 pbc="T T T"
Ag 0.000 0.000 0.000
Ag 1.752 1.752 1.752
Sn 3.505 3.505 3.505
Hg 5.257 5.257 5.257
```

ErLu | PBE | optimized geometry

Energy relative to the elements = 1993.4 meV/atom
Energy above the most stable polymorph in this dataset = 1994 meV per atom

```
2
Lattice="0.000 3.644 3.644 3.644 0.000 3.644 3.644 3.644 0.000" Properties=species:S:1:pos:R:3 pbc="T T T"
Er 0.000 0.000 0.000
Lu 5.465 5.465 5.465
```

InAgTe2IrS | PBE | optimized geometry

```
12
Lattice="2.015 -8.168 0.000 2.015 8.168 0.000 0.000 0.000 9.567" Properties=species:S:1:pos:R:3 pbc="T T T"
In 2.015 5.622 7.176
In 2.015 -5.622 2.392
Ag 2.015 4.596 2.392
Ag 2.015 -4.596 7.176
Te 2.015 6.470 0.390
Te 2.015 6.470 4.394
Te 2.015 -6.470 5.173
Te 2.015 -6.470 9.178
Ir 2.015 0.000 0.000
Ir 2.015 0.000 4.784
S 2.015 0.776 2.392
S 2.015 -0.776 7.176
```

Er3LuTl2C2 | PBE | optimized geometry

```
8
Lattice="3.570 0.000 0.000 -1.785 3.092 0.000 0.000 0.000 16.071" Properties=species:S:1:pos:R:3 pbc="T T T"
Er 0.000 0.000 0.000
Er 0.000 0.000 5.402
Er 0.000 2.061 8.066
Lu 0.000 2.061 13.445
Tl 0.000 0.000 10.773
Tl 0.000 2.061 2.706
C 1.785 1.031 6.732
C 1.785 1.031 14.745
```

SbAuSO | PBE | optimized geometry

Energy above the most stable polymorph in this dataset = 287 meV per atom

```
8
Lattice="3.737 0.000 0.000 0.000 6.704 0.000 0.000 0.000 6.334" Properties=species:S:1:pos:R:3 pbc="T T T"
Sb 0.000 1.349 0.000
Sb 0.000 5.355 3.167
Au 1.869 2.048 4.105
Au 1.869 4.656 0.938
S 1.869 2.359 1.639
S 1.869 4.345 4.806
O 0.000 0.332 4.224
O 0.000 6.372 1.057
```

Cu7Ag3 | PBE | optimized geometry

Energy relative to the elements = 49.4 meV/atom
Energy above the most stable polymorph in this dataset = 5 meV per atom

```
10
Lattice="2.795 0.000 0.000 0.000 3.328 0.000 0.000 0.000 14.721" Properties=species:S:1:pos:R:3 pbc="T T T"
Cu 0.000 0.000 0.000
Cu 0.000 0.000 2.597
Cu 0.000 0.000 12.124
Cu 1.398 1.664 1.295
Cu 1.398 1.664 3.864
Cu 1.398 1.664 10.857
Cu 1.398 1.664 13.426
Ag 0.000 0.000 5.461
Ag 0.000 0.000 9.260
Ag 1.398 1.664 7.361
```

Ta4TlCoC2 | PBE | optimized geometry

```
8
Lattice="3.129 0.000 0.000 -1.564 2.710 0.000 0.000 0.000 13.795" Properties=species:S:1:pos:R:3 pbc="T T T"
Ta 0.000 0.000 1.924
Ta 0.000 0.000 11.872
Ta 0.000 1.806 4.421
Ta 0.000 1.806 9.375
Tl 0.000 0.000 6.898
Co 0.000 1.806 0.000
C 1.564 0.903 3.182
C 1.564 0.903 10.613
```

Cu5Ag2 | PBE | optimized geometry

Energy relative to the elements = 71.3 meV/atom
Energy above the most stable polymorph in this dataset = 20 meV per atom

```
7
Lattice="-1.373 1.373 12.681 1.373 -1.373 12.681 1.373 1.373 -12.681" Properties=species:S:1:pos:R:3 pbc="T T T"
Cu 0.000 0.000 0.000
Cu 0.000 0.000 3.895
Cu 0.000 0.000 7.154
Cu 0.000 0.000 18.208
Cu 0.000 0.000 21.467
Ag 0.000 0.000 10.739
Ag 0.000 0.000 14.623
```

YMgInFe | PBE | optimized geometry

```
4
Lattice="0.000 3.384 3.384 3.384 0.000 3.384 3.384 3.384 0.000" Properties=species:S:1:pos:R:3 pbc="T T T"
Y 0.000 0.000 0.000
Mg 1.692 1.692 1.692
In 3.384 3.384 3.384
Fe 5.075 5.075 5.075
```

Pr2In | PBE | optimized geometry

```
3
Lattice="0.000 3.790 3.790 3.790 0.000 3.790 3.790 3.790 0.000" Properties=species:S:1:pos:R:3 pbc="T T T"
Pr 1.895 1.895 1.895
Pr 5.685 5.685 5.685
In 0.000 0.000 0.000
```

Tm5Sn3 | PBE | optimized geometry

```
16
Lattice="8.830 0.000 0.000 -4.415 7.647 0.000 0.000 0.000 6.440" Properties=species:S:1:pos:R:3 pbc="T T T"
Tm -1.047 1.814 1.610
Tm -3.368 5.833 4.830
Tm 2.095 0.000 1.610
Tm 1.047 1.814 4.830
Tm 0.000 5.098 0.000
Tm 0.000 5.098 3.220
Tm 4.415 2.549 0.000
Tm 4.415 2.549 3.220
Tm 6.735 0.000 4.830
Tm 3.368 5.833 1.610
Sn -1.745 3.022 4.830
Sn -2.670 4.625 1.610
Sn 3.489 0.000 4.830
Sn 1.745 3.022 1.610
Sn 5.341 0.000 1.610
Sn 2.670 4.625 4.830
```

Sequential VASP energy output: -69.912, -28.910, -8.856, -59.714, -34.260, -10.919, -14.396, -47.300, -57.768, -9.453, -5.100, -51.047, -44.692, -35.243, -33.998, -77.403, -23.734, -18.816, -12.645, -79.934 eV for the cell shown